(1)
DFT (GGA-PBE) results for NaAgTeOsS2 after structural relaxation.

```
NaAgTeOsS2
1.0
1.827 -7.241 0.000
1.827 7.241 0.000
0.000 0.000 10.104
S Os Na Te Ag
4 2 2 2 2
Cartesian
1.827 1.578 4.848
1.827 -1.578 9.900
1.827 1.578 0.204
1.827 -1.578 5.256
0.000 0.000 5.052
0.000 0.000 0.000
1.827 3.855 7.578
1.827 -3.855 2.526
1.827 -6.008 7.578
1.827 6.008 2.526
1.827 1.001 2.526
1.827 -1.001 7.578
```

Output
* total DFT energy (no corrections): -54.79 eV/cell

=====

(2)
DFT (GGA-PBE) results for AgI after structural relaxation.

```
AgI
1.0
0.000 0.000 5.260
-4.603 0.000 0.000
2.302 -3.987 0.000
Ag I
1 1
Cartesian
0.000 0.000 3.079
0.000 0.000 0.445
```

Output
* total DFT energy (no corrections): -4.18 eV/cell

=====

(3)
DFT (GGA-PBE) results for Li3TaO4 after structural relaxation.

```
Li3TaO4
1.0
-4.229 -4.232 0.007
-4.229 4.232 0.007
4.208 0.000 -8.286
Ta O Li
4 16 12
Cartesian
-1.978 -3.033 -3.103
-4.375 -3.033 -1.027
-2.271 3.033 -5.170
0.126 3.033 -7.246
-4.246 3.290 -0.935
-2.107 3.290 -3.194
2.213 -1.051 -7.155
0.109 1.051 -3.012
0.070 -1.067 -5.222
-2.109 -1.142 -3.145
-2.142 -3.290 -5.078
-4.319 1.067 -3.051
-4.244 -1.142 -0.984
-6.462 1.051 -1.118
-2.034 1.067 -1.079
-2.140 1.142 -5.128
-2.215 -1.067 -7.194
-4.358 -1.051 -5.261
-0.005 1.142 -7.289
-0.003 -3.290 -7.338
-6.351 -1.044 -1.108
-0.180 -0.893 -7.246
-0.067 1.002 -5.100
-4.069 0.893 -1.027
-0.002 -1.044 -3.022
-2.284 0.893 -3.103
-2.171 -1.002 -0.957
-4.247 1.044 -5.251
-2.078 1.002 -7.316
-4.182 -1.002 -3.173
-1.965 -0.893 -5.170
2.102 1.044 -7.165
```

Output
* total DFT energy (no corrections): -229.53 eV/cell
* excess energy over the best structure of this formula in the dataset: 0.0 meV per atom

=====

Q: Look up the total DFT energy (no corrections) of the third one.
A: -229.53 eV/cell

=====

Q: Which formula does entry 3 have?
A: Li3TaO4